First-principles (PBE with a Hubbard U) data for a geometry-optimized Sr5Ca3Ti3Mn5O24 structure, as listed in Alexandria via LeMat-Bulk.

Electronic total energy in eV per atom: -7.312
Total magnetic moment in μB/f.u.: 15.1

Cell and atoms, written as POSCAR:
```
Sr5Ca3Ti3Mn5O24
1.0
7.727 0.000 0.000
0.033 7.751 0.000
0.032 0.003 7.759
Sr Ca Ti Mn O
5 3 3 5 24
Direct
0.000 0.000 0.000
0.000 0.000 0.497
0.502 0.985 0.484
0.502 0.987 0.984
0.998 0.495 0.006
0.502 0.477 0.482
0.503 0.482 0.974
0.997 0.509 0.505
0.252 0.245 0.740
0.252 0.737 0.243
0.252 0.740 0.741
0.251 0.245 0.243
0.749 0.245 0.243
0.749 0.738 0.245
0.750 0.246 0.740
0.750 0.740 0.743
0.217 0.489 0.273
0.227 0.757 0.495
0.229 0.993 0.760
0.241 0.265 0.995
0.269 0.226 0.489
0.275 0.717 0.996
0.276 0.995 0.227
0.279 0.492 0.721
0.500 0.291 0.227
0.503 0.224 0.757
0.503 0.711 0.276
0.503 0.766 0.724
0.714 0.493 0.707
0.717 0.705 0.995
0.720 0.993 0.218
0.728 0.215 0.491
0.758 0.278 0.991
0.776 0.993 0.770
0.781 0.766 0.495
0.785 0.491 0.284
0.996 0.713 0.763
0.996 0.763 0.220
0.997 0.274 0.722
0.999 0.212 0.251
```